(1)
Material: Rb2In12Au
Method: DFT, PBE-GGA
State: relaxed

Values from the calculation:
- Formation enthalpy at 0 K: -1.42 eV per formula unit

Cell lengths 7.0177, 7.0177, 18.3603 Å; angles 90.00, 90.00, 90.00 degrees
Closest atoms and distances in Å follow each position.
Fractional positions:
Rb (0.5000, 0.0000, 0.7506)  14 In 3.74-3.91
Rb (0.0000, 0.5000, 0.2494)  14 In 3.74-3.91
Rb (0.5000, 0.0000, 0.2494)  14 In 3.74-3.91
Rb (0.0000, 0.5000, 0.7506)  14 In 3.74-3.91
In (0.3317, 0.1683, 0.5674)  3 In 2.96-3.08
In (0.7501, 0.7499, 0.0849)  2 Au 2.93, 3 In 3.03-3.12
In (0.0000, 0.0000, 0.6566)  5 In 3.01-3.08
In (0.5000, 0.5000, 0.6566)  5 In 3.01-3.08
In (0.1683, 0.3317, 0.4326)  3 In 2.96-3.08
In (0.2499, 0.2501, 0.0849)  2 Au 2.93, 3 In 3.03-3.12
In (0.8317, 0.3317, 0.5674)  3 In 2.96-3.08
In (0.0000, 0.0000, 0.3434)  5 In 3.01-3.08
In (0.6683, 0.8317, 0.5674)  3 In 2.96-3.08
In (0.5000, 0.5000, 0.8205)  5 In 3.01-3.03
In (0.7499, 0.2499, 0.0849)  2 Au 2.93, 3 In 3.03-3.12
In (0.0000, 0.0000, 0.8205)  5 In 3.01-3.03
In (0.8317, 0.6683, 0.4326)  3 In 2.96-3.08
In (0.6683, 0.1683, 0.4326)  3 In 2.96-3.08
In (0.2499, 0.7499, 0.9151)  2 Au 2.93, 3 In 3.03-3.12
In (0.0000, 0.0000, 0.1795)  5 In 3.01-3.03
In (0.7499, 0.7501, 0.9151)  2 Au 2.93, 3 In 3.03-3.12
In (0.5000, 0.5000, 0.1795)  5 In 3.01-3.03
In (0.1683, 0.6683, 0.5674)  3 In 2.96-3.08
In (0.5000, 0.5000, 0.3434)  5 In 3.01-3.08
In (0.2501, 0.7501, 0.0849)  2 Au 2.93, 3 In 3.03-3.12
In (0.2501, 0.2499, 0.9151)  2 Au 2.93, 3 In 3.03-3.12
In (0.3317, 0.8317, 0.4326)  3 In 2.96-3.08
In (0.7501, 0.2501, 0.9151)  2 Au 2.93, 3 In 3.03-3.12
Au (0.5000, 0.0000, 0.0000)  8 In 2.93
Au (0.0000, 0.5000, 0.0000)  8 In 2.93

=====

(2)
Material: Rb2In9Au3
Method: DFT, PBE-GGA
State: relaxed

Values from the calculation:
- Formation enthalpy at 0 K: -1.99 eV per formula unit

Cell lengths 8.8120, 8.8120, 12.2004 Å; angles 89.99, 111.03, 120.22 degrees
Closest atoms and distances in Å follow each position.
Fractional positions:
In (0.8663, 0.0166, 0.0540)  3 Au 2.98-3.07, 4 In 3.21-3.32
In (0.5495, 0.3569, 0.0730)  3 Au 2.97-3.05, 3 In 3.23-3.28
In (0.8775, 0.1275, 0.7500)  2 Au 3.00, 4 In 3.15-3.24
In (0.7839, 0.4765, 0.4270)  3 Au 2.97-3.05, 3 In 3.23-3.28
In (0.8801, 0.8574, 0.5719)  3 Au 2.99-3.05, 5 In 3.23-3.34
In (0.1199, 0.1426, 0.4281)  3 Au 2.99-3.05, 5 In 3.23-3.34
In (0.4505, 0.6431, 0.9270)  3 Au 2.97-3.05, 3 In 3.23-3.28
In (0.5386, 0.0798, 0.2543)  2 Au 2.98-3.04, 6 In 3.15-3.32
In (0.1337, 0.9834, 0.9460)  3 Au 2.98-3.07, 4 In 3.21-3.32
In (0.3254, 0.2843, 0.2457)  2 Au 2.98-3.04, 6 In 3.15-3.32
In (0.6746, 0.7157, 0.7543)  2 Au 2.98-3.04, 6 In 3.15-3.32
In (0.5374, 0.1877, 0.5540)  3 Au 2.98-3.07, 4 In 3.21-3.32
In (0.2145, 0.6919, 0.0719)  3 Au 2.99-3.05, 5 In 3.23-3.34
In (0.7855, 0.3081, 0.9281)  3 Au 2.99-3.05, 5 In 3.23-3.34
In (0.4626, 0.8123, 0.4460)  3 Au 2.98-3.07, 4 In 3.21-3.32
In (0.2161, 0.5235, 0.5730)  3 Au 2.97-3.05, 3 In 3.23-3.28
In (0.1225, 0.8725, 0.2500)  2 Au 3.00, 4 In 3.15-3.24
In (0.4614, 0.9202, 0.7457)  2 Au 2.98-3.04, 6 In 3.15-3.32
Au (0.8276, 0.6568, 0.0000)  8 In 2.97-3.07
Au (0.5000, 0.5000, 0.5000)  8 In 2.98-3.04
Au (0.1724, 0.3432, 0.0000)  8 In 2.97-3.07
Au (0.5000, 0.0000, 0.0000)  8 In 2.98-3.04
Au (0.1568, 0.8276, 0.5000)  8 In 2.97-3.07
Au (0.8432, 0.1724, 0.5000)  8 In 2.97-3.07
Rb (0.6647, 0.7512, 0.2500)  11 In 3.53-3.66
Rb (0.0012, 0.4147, 0.2500)  11 In 3.53-3.66
Rb (0.3353, 0.2488, 0.7500)  11 In 3.53-3.66
Rb (0.9988, 0.5853, 0.7500)  11 In 3.53-3.66

=====

(3)
Material: RbIn4Au6
Method: DFT, PBE-GGA
State: relaxed

Values from the calculation:
- Formation enthalpy at 0 K: -2.45 eV per formula unit

Cell lengths 4.6817, 7.9509, 7.9509 Å; angles 120.00, 90.00, 90.00 degrees
Closest atoms and distances in Å follow each position.
Fractional positions:
Au (0.5000, 0.0506, 0.7986)  5 In 2.80-3.05, 2 Au 2.92
Au (0.0000, 0.7298, 0.1590)  4 Au 2.92-2.93, 5 In 2.93-3.04
Au (0.0000, 0.4292, 0.2702)  4 Au 2.92-2.93, 5 In 2.93-3.04
Au (0.5000, 0.2014, 0.2521)  5 In 2.80-3.05, 2 Au 2.92
Au (0.0000, 0.8410, 0.5708)  4 Au 2.92-2.93, 5 In 2.93-3.04
Au (0.5000, 0.7479, 0.9494)  5 In 2.80-3.05, 2 Au 2.92
In (0.5000, 0.9404, 0.3914)  7 Au 2.80-3.05
In (0.5000, 0.4511, 0.0596)  7 Au 2.80-3.05
In (0.5000, 0.6086, 0.5489)  7 Au 2.80-3.05
In (0.0000, 0.0000, 0.0000)  9 Au 2.98-2.99
Rb (0.0000, 0.3333, 0.6667)  9 Au 3.59-3.74, 6 In 3.63

=====

(4)
Material: RbIn6Au4
Method: DFT, PBE-GGA
State: relaxed

Values from the calculation:
- Formation enthalpy at 0 K: -2.80 eV per formula unit

Cell lengths 8.2620, 8.2620, 4.5657 Å; angles 90.00, 90.00, 120.00 degrees
Closest atoms and distances in Å follow each position.
Fractional positions:
In (0.1979, 0.3958, 0.5000)  4 Au 2.89-2.99
In (0.5348, 0.0696, 0.0000)  5 Au 2.88-2.94
In (0.5348, 0.4652, 0.0000)  5 Au 2.88-2.94
In (0.6042, 0.8021, 0.5000)  4 Au 2.89-2.99
In (0.9304, 0.4652, 0.0000)  5 Au 2.88-2.94
In (0.1979, 0.8021, 0.5000)  4 Au 2.89-2.99
Au (0.4120, 0.2060, 0.5000)  6 In 2.89-2.94, 2 Au 3.16
Au (0.7940, 0.2060, 0.5000)  6 In 2.89-2.94, 2 Au 3.16
Au (0.7940, 0.5880, 0.5000)  6 In 2.89-2.94, 2 Au 3.16
Au (0.3333, 0.6667, 0.0000)  9 In 2.88-2.99
Rb (0.0000, 0.0000, 0.0000)  6 In 3.64, 6 Au 3.73

=====

(5)
Material: Rb12InAu5
Method: DFT, PBE-GGA
State: relaxed

Values from the calculation:
- Formation enthalpy at 0 K: -2.93 eV per formula unit

Cell lengths 10.4996, 10.4996, 10.4996 Å; angles 104.86, 113.07, 110.59 degrees
Closest atoms and distances in Å follow each position.
Fractional positions:
Au (0.5000, 0.1133, 0.6133)  1 Au 2.90
Au (0.6345, 0.6345, 0.0000)  1 Au 3.22, 6 Rb 3.49-3.55
Au (0.0000, 0.0000, 0.0000)  8 Rb 3.66-3.98
Au (0.5000, 0.8867, 0.3867)  1 Au 2.90
Au (0.3655, 0.3655, 0.0000)  1 Au 3.22, 6 Rb 3.49-3.55
Rb (0.1902, 0.9661, 0.7759)  2 Au 3.55-3.66
Rb (0.4695, 0.1807, 0.2888)  3 Au 3.57-3.98
Rb (0.3087, 0.6686, 0.9773)  3 Au 3.49-3.56
Rb (0.1902, 0.4143, 0.2241)  2 Au 3.55-3.66
Rb (0.8098, 0.5857, 0.7759)  2 Au 3.55-3.66
Rb (0.5305, 0.8193, 0.7112)  3 Au 3.57-3.98
Rb (0.1080, 0.8193, 0.2888)  3 Au 3.57-3.98
Rb (0.3087, 0.3314, 0.6402)  3 Au 3.49-3.56
Rb (0.6913, 0.6686, 0.3598)  3 Au 3.49-3.56
Rb (0.8920, 0.1807, 0.7112)  3 Au 3.57-3.98
Rb (0.8098, 0.0339, 0.2241)  2 Au 3.55-3.66
Rb (0.6913, 0.3314, 0.0227)  3 Au 3.49-3.56
In (0.0000, 0.5000, 0.5000)  12 Rb 4.18-4.53

=====

(6)
Material: RbInAu3
Method: DFT, PBE-GGA
State: relaxed

Values from the calculation:
- Energy relative to the lowest polymorph listed for this composition: 0.000 eV/atom
- Formation enthalpy at 0 K: -0.99 eV per formula unit

Cell lengths 6.2400, 9.7618, 9.3994 Å; angles 106.56, 90.00, 90.00 degrees
Closest atoms and distances in Å follow each position.
Fractional positions:
Au (0.5016, 0.1650, 0.6516)  4 Au 2.77-3.02, 3 In 2.80-3.02
Au (0.9984, 0.1650, 0.1516)  4 Au 2.77-3.02, 3 In 2.80-3.02
Au (0.5228, 0.3620, 0.9302)  3 Au 2.65-2.93, 1 In 2.91
Au (0.2756, 0.1002, 0.9024)  4 Au 2.83-3.02, 3 In 2.85-2.96
Au (0.0228, 0.6380, 0.5698)  3 Au 2.65-2.93, 1 In 2.91
Au (0.7756, 0.8998, 0.5976)  4 Au 2.83-3.02, 3 In 2.85-2.96
Au (0.7244, 0.8998, 0.0976)  4 Au 2.83-3.02, 3 In 2.85-2.96
Au (0.0016, 0.8350, 0.8484)  4 Au 2.77-3.02, 3 In 2.80-3.02
Au (0.4772, 0.6380, 0.0698)  3 Au 2.65-2.93, 1 In 2.91
Au (0.2244, 0.1002, 0.4024)  4 Au 2.83-3.02, 3 In 2.85-2.96
Au (0.9772, 0.3620, 0.4302)  3 Au 2.65-2.93, 1 In 2.91
Au (0.4984, 0.8350, 0.3484)  4 Au 2.77-3.02, 3 In 2.80-3.02
Rb (0.5258, 0.6171, 0.7093)  6 Au 3.35-3.67
Rb (0.4742, 0.3829, 0.2907)  6 Au 3.35-3.67
Rb (0.9742, 0.6171, 0.2093)  6 Au 3.35-3.67
Rb (0.0258, 0.3829, 0.7907)  6 Au 3.35-3.67
In (0.2319, 0.9110, 0.5986)  7 Au 2.80-3.02
In (0.2681, 0.9110, 0.0986)  7 Au 2.80-3.02
In (0.7681, 0.0890, 0.4014)  7 Au 2.80-3.02
In (0.7319, 0.0890, 0.9014)  7 Au 2.80-3.02

=====

(7)
Material: RbIn7Au12
Method: DFT, PBE-GGA
State: relaxed

Values from the calculation:
- Formation enthalpy at 0 K: -2.43 eV per formula unit

Cell lengths 7.2416, 8.7576, 8.7576 Å; angles 112.71, 106.00, 106.00 degrees
Closest atoms and distances in Å follow each position.
Fractional positions:
Au (0.2642, 0.2642, 0.5284)  4 Au 2.86-2.98, 4 In 2.86-3.07
Au (0.0000, 0.2642, 0.7358)  4 Au 2.86-2.98, 4 In 2.86-3.07
Au (0.6080, 0.6703, 0.0000)  3 In 2.85-2.89, 3 Au 2.86-2.96
Au (0.3920, 0.0000, 0.3297)  3 In 2.85-2.89, 3 Au 2.86-2.96
Au (0.7358, 0.4716, 0.7358)  4 Au 2.86-2.98, 4 In 2.86-3.07
Au (0.0000, 0.7358, 0.2642)  4 Au 2.86-2.98, 4 In 2.86-3.07
Au (0.3920, 0.3297, 0.0000)  3 In 2.85-2.89, 3 Au 2.86-2.96
Au (0.2642, 0.5284, 0.2642)  4 Au 2.86-2.98, 4 In 2.86-3.07
Au (0.9377, 0.3297, 0.3297)  3 In 2.85-2.89, 3 Au 2.86-2.96
Au (0.6080, 0.0000, 0.6703)  3 In 2.85-2.89, 3 Au 2.86-2.96
Au (0.0623, 0.6703, 0.6703)  3 In 2.85-2.89, 3 Au 2.86-2.96
Au (0.7358, 0.7358, 0.4716)  4 Au 2.86-2.98, 4 In 2.86-3.07
In (0.2082, 0.0000, 0.6478)  7 Au 2.85-3.07
In (0.7918, 0.0000, 0.3522)  7 Au 2.85-3.07
In (0.7918, 0.3522, 0.0000)  7 Au 2.85-3.07
In (0.2082, 0.6478, 0.0000)  7 Au 2.85-3.07
In (0.5604, 0.3522, 0.3522)  7 Au 2.85-3.07
In (0.5000, 0.0000, 0.0000)  6 Au 3.19, 6 In 3.22
In (0.4396, 0.6478, 0.6478)  7 Au 2.85-3.07
Rb (0.0000, 0.0000, 0.0000)  12 Au 3.45-3.85, 8 In 3.62-3.79

=====

(8)
Material: RbIn8Au2
Method: DFT, PBE-GGA
State: relaxed

Values from the calculation:
- Formation enthalpy at 0 K: 0.04 eV per formula unit

Cell lengths 6.4003, 6.4003, 10.0075 Å; angles 90.00, 90.00, 90.00 degrees
Closest atoms and distances in Å follow each position.
Fractional positions:
Rb (0.5000, 0.5000, 0.5000)  8 In 3.92
In (0.7512, 0.2488, 0.8189)  2 Au 2.90, 4 In 3.18-3.22
In (0.7512, 0.7512, 0.8189)  2 Au 2.90, 4 In 3.18-3.22
In (0.7512, 0.7512, 0.1811)  2 Au 2.90, 4 In 3.18-3.22
In (0.7512, 0.2488, 0.1811)  2 Au 2.90, 4 In 3.18-3.22
In (0.2488, 0.7512, 0.8189)  2 Au 2.90, 4 In 3.18-3.22
In (0.2488, 0.2488, 0.1811)  2 Au 2.90, 4 In 3.18-3.22
In (0.2488, 0.2488, 0.8189)  2 Au 2.90, 4 In 3.18-3.22
In (0.2488, 0.7512, 0.1811)  2 Au 2.90, 4 In 3.18-3.22
Au (0.0000, 0.5000, 0.0000)  8 In 2.90
Au (0.5000, 0.0000, 0.0000)  8 In 2.90

=====

For reference, energy by record: -2.633 -2.743 -3.094 -3.028 -1.870 -2.906 -3.095 -2.672 eV/atom.
For reference, DOS at the Fermi energy by record: 16.723 10.030 2.925 5.287 5.936 6.991 6.915 6.330 states/eV/cell.